## CrH3Rh (PBE)

Data for a relaxed CrH3Rh crystal.

abc: 3.329 3.329 3.329
angles: 90.00 90.00 90.00
Sites, in units of the cell vectors:
Cr  0.000  0.000  0.000
Rh  0.500  0.500  0.500
H  0.000  0.500  0.000
H  0.000  0.000  0.500
H  0.500  0.000  0.000



## Pm2Ho3In2 (PBE)

Data for a relaxed Pm2Ho3In2 crystal.

abc: 5.431 5.426 8.681
angles: 108.23 90.00 120.03
Sites, in units of the cell vectors:
Pm  0.923  0.846  0.268
Pm  0.077  0.154  0.732
Ho  0.500  0.000  0.000
Ho  0.653  0.305  0.458
Ho  0.347  0.695  0.542
In  0.783  0.565  0.848
In  0.217  0.435  0.152



Record-wise final energy values, in eV per atom: -5.086, -4.372
Record-wise total magnetization values, in μB/atom: 0.41, 0.00
Record-wise DOS at the Fermi energy values, in states/eV per cell: 1.5, 6.2